VASP calculation (PBE) on a geometry-optimized SmDyGa4 structure.

Values from the calculation:
Space-group type: Cmcm, No. 63

Cell: 9.662 9.662 6.533 Å, 90.00 90.00 155.20°
Fractional coordinates of all 12 atoms:
Ga1 0.146 0.854 0.546
Ga2 0.854 0.146 0.454
Ga3 0.146 0.854 0.954
Ga4 0.428 0.572 0.250
Ga5 0.572 0.428 0.750
Sm1 0.411 0.589 0.750
Ga6 0.000 0.000 0.500
Dy1 0.735 0.265 0.750
Sm2 0.589 0.411 0.250
Dy2 0.265 0.735 0.250
Ga7 0.854 0.146 0.046
Ga8 0.000 0.000 0.000

***

VASP calculation (PBE) on a geometry-optimized DyTaGa structure.

Values from the calculation:
Space-group type: F-43m, No. 216

Cell: 4.596 4.596 4.596 Å, 60.00 60.00 60.00°
Fractional coordinates of all 3 atoms:
Dy1 0.250 0.250 0.250
Ga1 0.000 0.000 0.000
Ta1 0.750 0.750 0.750

***

Across the entries above, total DFT energy (no corrections) takes the values -4.15; -6.20 eV per atom, respectively.
Across the entries above, magnetization takes the values 0.0; 0.0 Bohr magnetons per cell, respectively.